Entry 1:
First-principles (PBE) data for crystalline K2BaNi at its relaxed geometry, as listed in Alexandria.

## Properties
SG ... C2/m (12)
ρ ... 2.735 g/cm3
Calculated formation energy ... 0.5262 eV per atom

a b c (Å): 7.7713 7.7713 4.8940
angles (deg): 72.52 72.52 128.61
Fractional positions:
Ba: 0.0000 0.5000 0.5000
Ni: 0.5000 0.0000 0.5000
K: 0.0000 0.0000 0.0000
K: 0.5000 0.5000 0.0000

***

Entry 2:
First-principles (PBE) data for crystalline CePm2Bi at its relaxed geometry, as listed in Alexandria.

## Properties
SG ... P4/mmm (123)
ρ ... 8.896 g/cm3
Calculated formation energy ... -0.3849 eV per atom

a b c (Å): 4.7548 5.0090 5.0090
angles (deg): 90.00 90.00 90.00
Last column: magnetic moment on the atom in μB.
Fractional positions:
Bi: 0.5000 0.0000 0.0000  -0.01
Pm: 0.0000 0.5000 0.0000  0.02
Ce: 0.5000 0.5000 0.5000  0.53
Pm: 0.0000 0.0000 0.5000  0.02

***

Entry 3:
First-principles (PBE) data for crystalline BaSi2W at its relaxed geometry, as listed in Alexandria.

## Properties
SG ... Imm2 (44)
Calculated total energy ... -24.93 eV per formula unit
ρ ... 6.882 g/cm3

a b c (Å): 7.3695 7.3695 7.3695
angles (deg): 151.39 151.57 40.77
Fractional positions:
Si: 0.6534 0.1534 0.5000
W: 0.5220 0.5220 0.0000
Ba: 0.2933 0.7933 0.5000
Si: 0.0314 0.0314 0.0000

***

Entry 4:
First-principles (PBE) data for crystalline SrCaLa at its relaxed geometry, as listed in Alexandria.

## Properties
SG ... P-1 (2)
ρ ... 3.409 g/cm3
Calculated formation energy ... 0.1220 eV per atom

a b c (Å): 6.8779 6.8449 7.5047
angles (deg): 61.27 63.60 60.62
Fractional positions:
La: 0.7421 0.4413 0.0336
La: 0.5892 0.9348 0.5479
Sr: 0.2556 0.5937 0.5423
Ca: 0.4183 0.1018 0.0470
Ca: 0.9128 0.2744 0.5347
Sr: 0.0755 0.7824 0.0393

***

Entry 5:
First-principles (PBE) data for crystalline PmZn12Pd6 at its relaxed geometry, as listed in Alexandria.

## Properties
SG ... R-3m (166)
ρ ... 8.079 g/cm3
Calculated formation energy ... -0.3312 eV per atom

a b c (Å): 7.1663 7.1663 7.1663
angles (deg): 104.91 104.91 104.91
Fractional positions:
Zn: 0.1111 0.5000 0.8889
Zn: 0.8889 0.1111 0.5000
Zn: 0.1111 0.8889 0.5000
Zn: 0.5000 0.1111 0.8889
Pd: 0.7046 0.2813 0.2813
Zn: 0.8662 0.6110 0.6110
Pd: 0.7187 0.7187 0.2954
Zn: 0.5000 0.8889 0.1111
Zn: 0.3890 0.3890 0.1338
Zn: 0.8889 0.5000 0.1111
Pd: 0.2813 0.7046 0.2813
Pd: 0.2813 0.2813 0.7046
Zn: 0.3890 0.1338 0.3890
Zn: 0.6110 0.8662 0.6110
Pd: 0.7187 0.2954 0.7187
Pd: 0.2954 0.7187 0.7187
Zn: 0.1338 0.3890 0.3890
Zn: 0.6110 0.6110 0.8662
Pm: 0.0000 0.0000 0.0000

***

Entry 6:
First-principles (PBE) data for crystalline CePd2 at its relaxed geometry, as listed in Alexandria.

## Properties
SG ... Cmcm (63)
ρ ... 9.909 g/cm3
Calculated formation energy ... -0.6839 eV per atom

a b c (Å): 4.2854 4.0733 7.0766
angles (deg): 106.73 90.00 90.00
Last column: magnetic moment on the atom in μB.
Fractional positions:
Pd: 0.7500 0.7527 0.5054  -0.02
Pd: 0.2500 0.5854 0.1707  0.00
Pd: 0.2500 0.2473 0.4946  -0.02
Ce: 0.2500 0.9016 0.8032  0.53
Pd: 0.7500 0.4146 0.8293  0.00
Ce: 0.7500 0.0984 0.1968  0.53

***

Entry 7:
First-principles (PBE) data for crystalline CsMg2CdRh at its relaxed geometry, as listed in Alexandria.

## Properties
SG ... P4/mmm (123)
ρ ... 4.478 g/cm3
Calculated formation energy ... -0.0825 eV per atom

a b c (Å): 5.1974 5.1974 5.4477
angles (deg): 90.00 90.00 90.00
Fractional positions:
Cs: 0.5000 0.5000 0.5000
Mg: 0.0000 0.5000 0.0000
Mg: 0.5000 0.0000 0.0000
Cd: 0.0000 0.0000 0.5000
Rh: 0.0000 0.0000 0.0000

***

Entry 8:
First-principles (PBE) data for crystalline SmThOs at its relaxed geometry, as listed in Alexandria.

## Properties
SG ... F-43m (216)
ρ ... 11.341 g/cm3
Calculated formation energy ... -0.1564 eV per atom

a b c (Å): 4.9128 4.9128 4.9128
angles (deg): 60.00 60.00 60.00
Fractional positions:
Th: 0.5000 0.5000 0.5000
Os: 0.2500 0.2500 0.2500
Sm: 0.0000 0.0000 0.0000

***

Entry 9:
First-principles (PBE) data for crystalline Ho6MgIn6 at its relaxed geometry, as listed in Alexandria.

## Properties
SG ... P6/mmm (191)
ρ ... 7.803 g/cm3
Calculated formation energy ... -0.2668 eV per atom

a b c (Å): 6.3079 6.3079 10.5163
angles (deg): 90.00 90.00 120.00
Fractional positions:
In: 0.0000 0.5000 0.2486
Ho: 0.3333 0.6667 0.5000
Ho: 0.6667 0.3333 0.5000
Ho: 0.0000 0.0000 0.6748
Ho: 0.0000 0.0000 0.3252
In: 0.5000 0.5000 0.2486
In: 0.5000 0.0000 0.2486
In: 0.5000 0.5000 0.7514
In: 0.0000 0.5000 0.7514
In: 0.5000 0.0000 0.7514
Ho: 0.6667 0.3333 0.0000
Mg: 0.0000 0.0000 0.0000
Ho: 0.3333 0.6667 0.0000

***

Entry 10:
First-principles (PBE) data for crystalline CaRe5 at its relaxed geometry, as listed in Alexandria.

## Properties
SG ... Amm2 (38)
ρ ... 15.687 g/cm3
Calculated formation energy ... 0.4618 eV per atom

a b c (Å): 8.4166 8.4166 4.4709
angles (deg): 90.00 90.00 161.06
Fractional positions:
Re: 0.4144 0.5856 0.5000
Re: 0.7715 0.2285 0.5000
Re: 0.3251 0.6749 0.0000
Ca: 0.0072 0.9928 0.0000
Re: 0.1318 0.8682 0.5000
Re: 0.6832 0.3168 0.0000

***

Entry 11:
First-principles (PBE) data for crystalline LiScRe2 at its relaxed geometry, as listed in Alexandria.

## Properties
SG ... Imm2 (44)
ρ ... 11.456 g/cm3
Calculated formation energy ... -0.0202 eV per atom

a b c (Å): 4.4317 4.4317 4.4317
angles (deg): 120.98 119.06 89.97
Fractional positions:
Li: 0.2477 0.7477 0.5000
Sc: 0.4997 0.4997 0.0000
Re: 0.9951 0.9951 0.0000
Re: 0.7576 0.2576 0.5000

***

Entry 12:
First-principles (PBE) data for crystalline KNdAs2Pt4 at its relaxed geometry, as listed in Alexandria.

## Properties
SG ... P4/mmm (123)
ρ ... 10.001 g/cm3
Calculated formation energy ... -0.6193 eV per atom

a b c (Å): 4.0703 4.0703 11.1598
angles (deg): 90.00 90.00 90.00
Fractional positions:
Pt: 0.0000 0.5000 0.2008
K: 0.0000 0.0000 0.5000
Nd: 0.0000 0.0000 0.0000
As: 0.5000 0.5000 0.6736
Pt: 0.5000 0.0000 0.2008
Pt: 0.0000 0.5000 0.7992
As: 0.5000 0.5000 0.3264
Pt: 0.5000 0.0000 0.7992

***

Entry 13:
First-principles (PBE) data for crystalline KHfSb3 at its relaxed geometry, as listed in Alexandria.

## Properties
SG ... Pm-3m (221)
Calculated total energy ... -24.23 eV per formula unit
ρ ... 5.553 g/cm3

a b c (Å): 5.5860 5.5860 5.5860
angles (deg): 90.00 90.00 90.00
Fractional positions:
K: 0.5000 0.5000 0.5000
Sb: 0.0000 0.0000 0.5000
Hf: 0.0000 0.0000 0.0000
Sb: 0.5000 0.0000 0.0000
Sb: 0.0000 0.5000 0.0000

***

Entry 14:
First-principles (PBE) data for crystalline NaGdSnGe at its relaxed geometry, as listed in Alexandria.

## Properties
SG ... F-43m (216)
ρ ... 6.179 g/cm3
Calculated formation energy ... -0.3065 eV per atom

a b c (Å): 5.2076 5.2076 5.2076
angles (deg): 60.00 60.00 60.00
Last column: magnetic moment on the atom in μB.
Fractional positions:
Ge: 0.7500 0.7500 0.7500  -0.04
Sn: 0.2500 0.2500 0.2500  -0.03
Gd: 0.5000 0.5000 0.5000  6.92
Na: 0.0000 0.0000 0.0000  -0.01

***

Entry 15:
First-principles (PBE) data for crystalline La2Pr15Er2 at its relaxed geometry, as listed in Alexandria.

## Properties
SG ... R-3m (166)
ρ ... 6.424 g/cm3
Calculated formation energy ... 0.2284 eV per atom

a b c (Å): 9.0343 9.0343 9.0343
angles (deg): 79.55 79.55 79.55
Fractional positions:
Pr: 0.3705 0.3705 0.8487
Pr: 0.0000 0.2933 0.7067
Pr: 0.5000 0.0000 0.0000
Pr: 0.1513 0.6295 0.6295
Pr: 0.0000 0.7067 0.2933
Pr: 0.8487 0.3705 0.3705
Pr: 0.0000 0.5000 0.0000
La: 0.3203 0.3203 0.3203
Pr: 0.6295 0.1513 0.6295
Pr: 0.7067 0.2933 0.0000
Pr: 0.2933 0.0000 0.7067
Pr: 0.6295 0.6295 0.1513
Pr: 0.0000 0.0000 0.5000
Er: 0.9068 0.9068 0.9068
Pr: 0.7067 0.0000 0.2933
Er: 0.0932 0.0932 0.0932
Pr: 0.3705 0.8487 0.3705
La: 0.6797 0.6797 0.6797
Pr: 0.2933 0.7067 0.0000

***

Entry 16:
First-principles (PBE) data for crystalline ScNiW2 at its relaxed geometry, as listed in Alexandria.

## Properties
SG ... F-43m (216)
ρ ... 12.419 g/cm3
Calculated formation energy ... 0.0770 eV per atom

a b c (Å): 4.4669 4.4669 4.4669
angles (deg): 60.00 60.00 60.00
Fractional positions:
W: 0.0000 0.0000 0.0000
Sc: 0.7500 0.7500 0.7500
Ni: 0.5000 0.5000 0.5000
W: 0.2500 0.2500 0.2500

***

Entry 17:
First-principles (PBE) data for crystalline GaIrRu2S at its relaxed geometry, as listed in Alexandria.

## Properties
SG ... P4/mmm (123)
Calculated total energy ... -31.93 eV per formula unit
ρ ... 9.998 g/cm3

a b c (Å): 4.3315 4.3920 4.3315
angles (deg): 90.00 90.00 90.00
Fractional positions:
Ru: 0.5000 0.0000 0.0000
Ga: 0.5000 0.5000 0.5000
Ru: 0.0000 0.0000 0.5000
S: 0.0000 0.0000 0.0000
Ir: 0.0000 0.5000 0.0000

***

Entry 18:
First-principles (PBE) data for crystalline MnTlAu2 at its relaxed geometry, as listed in Alexandria.

## Properties
SG ... P4/mmm (123)
ρ ... 13.933 g/cm3
Calculated formation energy ... 0.1566 eV per atom

a b c (Å): 4.5373 4.5373 3.7818
angles (deg): 90.00 90.00 90.00
Last column: magnetic moment on the atom in μB.
Fractional positions:
Tl: 0.0000 0.5000 0.5000  -0.03
Au: 0.0000 0.0000 0.0000  0.00
Au: 0.5000 0.5000 0.0000  0.00
Mn: 0.5000 0.0000 0.5000  4.02

***

Entry 19:
First-principles (PBE) data for crystalline LiZnB2 at its relaxed geometry, as listed in Alexandria.

## Properties
SG ... I4_1/amd (141)
ρ ... 3.456 g/cm3
Calculated formation energy ... 0.4575 eV per atom

a b c (Å): 3.4687 3.4687 7.8962
angles (deg): 77.31 77.31 90.00
Fractional positions:
Li: 0.2500 0.7500 0.5000
B: 0.3750 0.1248 0.7500
B: 0.8748 0.6250 0.2500
B: 0.8750 0.1252 0.7500
Zn: 0.0000 0.0000 0.0000
Zn: 0.7500 0.2500 0.5000
Li: 0.5000 0.5000 0.0000
B: 0.8752 0.1250 0.2500

***

Entry 20:
First-principles (PBE) data for crystalline Pu3S3O at its relaxed geometry, as listed in Alexandria.

## Properties
SG ... C2/m (12)
Calculated total energy ... -74.00 eV per formula unit
ρ ... 9.285 g/cm3

a b c (Å): 6.9785 6.9785 6.7979
angles (deg): 94.22 94.22 113.02
Last column: magnetic moment on the atom in μB.
Fractional positions:
Pu: 0.1005 0.1005 0.7957  5.18
O: 0.1881 0.1881 0.1387  -0.14
Pu: 0.1563 0.4744 0.2743  5.28
Pu: 0.8995 0.8995 0.2043  5.18
Pu: 0.4744 0.1563 0.2743  5.28
S: 0.7737 0.2263 0.0000  -0.12
S: 0.1653 0.8347 0.5000  -0.13
Pu: 0.5256 0.8437 0.7257  5.28
S: 0.8347 0.1653 0.5000  -0.13
S: 0.2263 0.7737 0.0000  -0.12
S: 0.5925 0.5925 0.3280  -0.14
Pu: 0.8437 0.5256 0.7257  5.28
S: 0.4075 0.4075 0.6720  -0.14
O: 0.8119 0.8119 0.8613  -0.14